A plane-wave DFT calculation with PBE was carried out for a relaxed PmLuScTi crystal.

Unit cell a=5.278 b=5.278 c=5.278 alpha=60.00 beta=60.00 gamma=60.00
Positions (direct):
Pm1 0.000 0.000 0.000
Lu1 0.500 0.500 0.500
Sc1 0.750 0.750 0.750
Ti1 0.250 0.250 0.250

Results
As for the calculated formation energy: 0.90 eV per formula unit. As for the crystal system: cubic.

---

A plane-wave DFT calculation with PBE was carried out for a relaxed Ba2LaRh crystal.

Unit cell a=6.906 b=6.906 c=6.906 alpha=140.94 beta=140.94 gamma=56.43
Positions (direct):
Ba1 0.250 0.750 0.500
Ba2 0.750 0.250 0.500
La1 0.000 0.000 0.000
Rh1 0.500 0.500 0.000

Results
As for the energy above the most stable polymorph in this dataset: 2.100 eV/f.u. As for the calculated formation energy: 0.77 eV per formula unit. As for the crystal system: tetragonal.

---

A plane-wave DFT calculation with PBE was carried out for a relaxed SrAlFe2 crystal.

Unit cell a=6.207 b=6.207 c=6.207 alpha=38.31 beta=38.31 gamma=38.31
Positions (direct):
Sr1 0.000 0.000 0.000
Al1 0.812 0.812 0.812
Fe1 0.195 0.195 0.195
Fe2 0.525 0.525 0.525

Results
As for the calculated formation energy: 0.15 eV per formula unit. As for the crystal system: trigonal.

---

A plane-wave DFT calculation with PBE was carried out for a relaxed YTlIn2 crystal.

Unit cell a=5.370 b=5.370 c=5.370 alpha=60.00 beta=60.00 gamma=60.00
Positions (direct):
Y1 0.000 0.000 0.000
Tl1 0.750 0.750 0.750
In1 0.250 0.250 0.250
In2 0.500 0.500 0.500

Results
As for the calculated formation energy: -0.50 eV per formula unit. As for the crystal system: cubic.

---

A plane-wave DFT calculation with PBE was carried out for a relaxed CsVSn2I8 crystal.

Unit cell a=7.392 b=8.203 c=10.340 alpha=70.75 beta=78.40 gamma=73.25
Positions (direct):
Cs1 0.000 0.000 0.000
V1 0.000 0.000 0.500
Sn1 0.441 0.434 0.243
Sn2 0.559 0.566 0.757
I1 0.139 0.720 0.734
I2 0.252 0.189 0.507
I3 0.262 0.830 0.328
I4 0.430 0.259 0.032
I5 0.570 0.741 0.968
I6 0.738 0.170 0.672
I7 0.748 0.811 0.493
I8 0.861 0.280 0.266

Results
Its uncorrected formation energy is -0.59 eV per atom. As for the crystal system: triclinic.

---

A plane-wave DFT calculation with PBE was carried out for a relaxed Fe2TcRh crystal.

Unit cell a=2.657 b=3.685 c=5.254 alpha=90.00 beta=90.00 gamma=90.00
Positions (direct):
Fe1 0.000 0.000 0.000
Fe2 0.500 0.500 0.232
Tc1 0.500 0.500 0.764
Rh1 0.000 0.000 0.490

Results
As for the energy above the most stable polymorph in this dataset: 0.113 eV/f.u. As for the calculated formation energy: 0.18 eV per formula unit. As for the crystal system: orthorhombic.

---

Calculated N(E_F) in order - 2.303, 0.904, 0.354, 0.776, 0.615, 1.113 states/eV/atom
Calculated magnetization in order - 2.14, 0.00, 2.93, 0.00, 2.00, 3.46 Bohr magnetons per cell
Calculated E_tot in order - -22.6, -15.4, -22.2, -14.8, -37.5, -34.5 eV/cell